[1]
# Pm2PrSi2Ni2 PBE optimized geometry
data_Pm2PrSi2Ni2
_cell_length_a 4.0715
_cell_length_b 4.0715
_cell_length_c 34.2722
_cell_angle_alpha 90.00
_cell_angle_beta 90.00
_cell_angle_gamma 120.00
_space_group_name_H-M_alt 'R -3 m'
_space_group_IT_number 166
_space_group_name_Hall '-R 3 2"'
loop_
_atom_site_label
_atom_site_fract_x
_atom_site_fract_y
_atom_site_fract_z
Pm1 0.0000 0.0000 0.1156
Pr1 0.0000 0.0000 0.0000
Si1 0.0000 0.0000 0.2714
Ni1 0.0000 0.0000 0.3952
# Uncorrected formation energy = -4.20 eV/f.u.



[2]
# PmPrNiSn PBE optimized geometry
data_PmPrNiSn
_cell_length_a 7.466
_cell_length_b 7.466
_cell_length_c 7.466
_cell_angle_alpha 90.00
_cell_angle_beta 90.00
_cell_angle_gamma 90.00
_space_group_name_H-M_alt 'F -4 3 m'
_space_group_IT_number 216
_space_group_name_Hall 'F -4 2 3'
loop_
_atom_site_label
_atom_site_fract_x
_atom_site_fract_y
_atom_site_fract_z
Pm1 0.000 0.000 0.000
Pr1 0.000 0.000 0.500
Ni1 0.250 0.250 0.750
Sn1 0.250 0.250 0.250
# Calculated total energy = -83.091 eV per cell



[3]
# PmPrTlNi PBE optimized geometry
data_PmPrTlNi
_cell_length_a 7.483
_cell_length_b 7.483
_cell_length_c 7.483
_cell_angle_alpha 90.00
_cell_angle_beta 90.00
_cell_angle_gamma 90.00
_space_group_name_H-M_alt 'F -4 3 m'
_space_group_IT_number 216
_space_group_name_Hall 'F -4 2 3'
loop_
_atom_site_label
_atom_site_fract_x
_atom_site_fract_y
_atom_site_fract_z
Pm1 0.000 0.000 0.000
Pr1 0.000 0.000 0.500
Tl1 0.250 0.250 0.750
Ni1 0.250 0.250 0.250
# Calculated total energy = -73.449 eV per cell



[4]
# PmNi6Pt6 PBE optimized geometry
data_PmNi6Pt6
_cell_length_a 4.978
_cell_length_b 8.657
_cell_length_c 8.788
_cell_angle_alpha 90.00
_cell_angle_beta 90.00
_cell_angle_gamma 90.00
_space_group_name_H-M_alt 'I m m m'
_space_group_IT_number 71
_space_group_name_Hall '-I 2 2'
loop_
_atom_site_label
_atom_site_fract_x
_atom_site_fract_y
_atom_site_fract_z
Pm1 0.000 0.000 0.000
Ni1 0.000 0.500 0.267
Ni2 0.250 0.250 0.250
Pt1 0.000 0.000 0.343
Pt2 0.000 0.297 0.500
Pt3 0.000 0.345 0.000
# Calculated total energy = -159.225 eV per cell



It is found that the magnetization values, taken in the order of the records, are 1.61, 0.00, 0.01, 10.71 μB per cell.